First-principles (PBE with a Hubbard U) data for crystalline TlNiAgO2 at its relaxed geometry, as listed in Alexandria via LeMat-Bulk.

The space group is P4/mmm (No. 123) and the conventional cell measures 4.260, 4.260 and 5.080 Å, with angles of 90.00, 90.00 and 90.00 degrees. The distinct sites, in fractional coordinates, are Tl at (0.000, 0.000, 0.000), Ni at (0.000, 0.000, 0.500), Ag at (0.500, 0.500, 0.500) and O at (0.000, 0.500, 0.000).

The density of states at the Fermi level is 0.51 states/eV per atom. For the calculated total energy, the calculation gives -14.47 eV for the cell shown.